1.
First-principles (PBE) data for a geometry-optimized Al3ZnO structure, as listed in Alexandria via LeMat-Bulk.

Properties
* total moment: 0.000 μB/atom
* formation energy from raw total energies: 0.59 eV/atom

Lattice parameters (Å, degrees): 4.598 4.598 4.598 90.00 90.00 90.00
Atoms (fractional coordinates):
1 Al 0.000 0.000 0.500
2 Al 0.000 0.500 0.000
3 Al 0.500 0.000 0.000
4 Zn 0.000 0.000 0.000
5 O 0.500 0.500 0.500

***

2.
First-principles (PBE) data for a geometry-optimized Al10ZnO16 structure, as listed in Alexandria via LeMat-Bulk.

Properties
* total moment: 0.000 μB/atom
* formation energy from raw total energies: -2.89 eV/atom

Lattice parameters (Å, degrees): 9.709 9.709 9.709 34.24 34.24 34.24
Atoms (fractional coordinates):
1 Al 0.000 0.000 0.000
2 Al 0.055 0.570 0.570
3 Al 0.056 0.056 0.561
4 Al 0.056 0.561 0.056
5 Al 0.121 0.121 0.121
6 Al 0.309 0.309 0.309
7 Al 0.503 0.503 0.503
8 Al 0.561 0.056 0.056
9 Al 0.570 0.055 0.570
10 Al 0.570 0.570 0.055
11 Zn 0.621 0.621 0.621
12 O 0.186 0.186 0.186
13 O 0.188 0.693 0.693
14 O 0.199 0.199 0.662
15 O 0.199 0.662 0.199
16 O 0.411 0.411 0.975
17 O 0.411 0.975 0.411
18 O 0.429 0.931 0.931
19 O 0.434 0.434 0.434
20 O 0.662 0.199 0.199
21 O 0.693 0.188 0.693
22 O 0.693 0.693 0.188
23 O 0.694 0.694 0.694
24 O 0.931 0.429 0.931
25 O 0.931 0.931 0.429
26 O 0.933 0.933 0.933
27 O 0.975 0.411 0.411

***

3.
First-principles (PBE) data for a geometry-optimized AlZn2O structure, as listed in Alexandria via LeMat-Bulk.

Properties
* total moment: 0.000 μB/atom
* E above lowest polymorph: 0.0 meV per atom
* formation energy from raw total energies: -0.36 eV/atom

Lattice parameters (Å, degrees): 5.779 5.779 5.779 120.39 120.39 89.32
Atoms (fractional coordinates):
1 Al 0.000 0.000 0.000
2 Al 0.750 0.250 0.500
3 Zn 0.206 0.625 0.081
4 Zn 0.375 0.456 0.581
5 Zn 0.544 0.125 0.919
6 Zn 0.875 0.794 0.419
7 O 0.250 0.750 0.500
8 O 0.500 0.500 0.000

***

4.
First-principles (PBE) data for a geometry-optimized Al2ZnO4 structure, as listed in Alexandria via LeMat-Bulk.

Properties
* total moment: 0.000 μB/atom
* formation energy from raw total energies: -2.49 eV/atom

Lattice parameters (Å, degrees): 5.797 5.797 5.797 121.03 119.63 89.43
Atoms (fractional coordinates):
1 Al 0.000 0.000 0.000
2 Al 0.385 0.635 0.750
3 Al 0.500 0.000 0.500
4 Al 0.615 0.365 0.250
5 Zn 0.000 0.000 0.500
6 Zn 0.000 0.500 0.000
7 O 0.237 0.232 0.005
8 O 0.257 0.242 0.485
9 O 0.257 0.772 0.015
10 O 0.273 0.768 0.505
11 O 0.727 0.232 0.495
12 O 0.743 0.228 0.985
13 O 0.743 0.758 0.515
14 O 0.763 0.768 0.995

***

5.
First-principles (PBE) data for a geometry-optimized AlZnO2 structure, as listed in Alexandria via LeMat-Bulk.

Properties
* total moment: 0.000 μB/atom
* E above lowest polymorph: 1265.5 meV per atom
* formation energy from raw total energies: -0.74 eV/atom

Lattice parameters (Å, degrees): 3.856 3.856 3.856 60.00 60.00 60.00
Atoms (fractional coordinates):
1 Al 0.000 0.000 0.000
2 Zn 0.500 0.500 0.500
3 O 0.250 0.250 0.250
4 O 0.750 0.750 0.750

***

6.
First-principles (PBE) data for a geometry-optimized AlZnO3 structure, as listed in Alexandria via LeMat-Bulk.

Properties
* total moment: 0.204 μB/atom
* formation energy from raw total energies: -1.57 eV/atom

Lattice parameters (Å, degrees): 6.701 6.701 6.701 60.00 60.00 60.00
Atoms (fractional coordinates):
1 Al 0.000 0.000 0.000
2 Al 0.000 0.000 0.500
3 Al 0.000 0.500 0.000
4 Al 0.500 0.000 0.000
5 Zn 0.000 0.500 0.500
6 Zn 0.500 0.000 0.500
7 Zn 0.500 0.500 0.000
8 Zn 0.500 0.500 0.500
9 O 0.097 0.097 0.653
10 O 0.097 0.653 0.097
11 O 0.097 0.653 0.653
12 O 0.347 0.347 0.903
13 O 0.347 0.903 0.347
14 O 0.347 0.903 0.903
15 O 0.653 0.097 0.097
16 O 0.653 0.097 0.653
17 O 0.653 0.653 0.097
18 O 0.903 0.347 0.347
19 O 0.903 0.347 0.903
20 O 0.903 0.903 0.347

***

7.
First-principles (PBE) data for a geometry-optimized AlZnO3 structure, as listed in Alexandria via LeMat-Bulk.

Properties
* total moment: 0.000 μB/atom
* formation energy from raw total energies: -0.46 eV/atom

Lattice parameters (Å, degrees): 3.729 3.729 3.729 90.00 90.00 90.00
Atoms (fractional coordinates):
1 Al 0.000 0.000 0.000
2 Zn 0.500 0.500 0.500
3 O 0.000 0.500 0.500
4 O 0.500 0.000 0.500
5 O 0.500 0.500 0.000

***

8.
First-principles (PBE) data for a geometry-optimized AlZn2O4 structure, as listed in Alexandria via LeMat-Bulk.

Properties
* total moment: 0.146 μB/atom
* formation energy from raw total energies: -1.46 eV/atom

Lattice parameters (Å, degrees): 5.815 5.815 5.815 142.48 142.48 54.11
Atoms (fractional coordinates):
1 Al 0.000 0.000 0.000
2 Zn 0.362 0.362 0.000
3 Zn 0.638 0.638 0.000
4 O 0.000 0.500 0.500
5 O 0.181 0.181 0.000
6 O 0.500 0.000 0.500
7 O 0.819 0.819 0.000

***

9.
First-principles (PBE) data for a geometry-optimized AlZn3O structure, as listed in Alexandria via LeMat-Bulk.

Properties
* total moment: 0.000 μB/atom
* E above lowest polymorph: 0.0 meV per atom
* formation energy from raw total energies: -0.06 eV/atom

Lattice parameters (Å, degrees): 4.250 4.250 4.250 90.00 90.00 90.00
Atoms (fractional coordinates):
1 Al 0.000 0.000 0.000
2 Zn 0.000 0.500 0.500
3 Zn 0.500 0.000 0.500
4 Zn 0.500 0.500 0.000
5 O 0.500 0.500 0.500

***

10.
First-principles (PBE) data for a geometry-optimized AlZnO3 structure, as listed in Alexandria via LeMat-Bulk.

Properties
* total moment: 0.000 μB/atom
* formation energy from raw total energies: -1.49 eV/atom

Lattice parameters (Å, degrees): 3.635 3.635 3.635 90.00 90.00 90.00
Atoms (fractional coordinates):
1 Al 0.000 0.000 0.000
2 Zn 0.500 0.500 0.500
3 O 0.000 0.000 0.500
4 O 0.000 0.500 0.000
5 O 0.500 0.000 0.000

***

11.
First-principles (PBE) data for a geometry-optimized Al3ZnO structure, as listed in Alexandria via LeMat-Bulk.

Properties
* total moment: 0.000 μB/atom
* formation energy from raw total energies: -0.27 eV/atom

Lattice parameters (Å, degrees): 4.183 4.183 4.183 90.00 90.00 90.00
Atoms (fractional coordinates):
1 Al 0.000 0.000 0.500
2 Al 0.000 0.500 0.000
3 Al 0.500 0.000 0.000
4 Zn 0.500 0.500 0.500
5 O 0.000 0.000 0.000

***

12.
First-principles (PBE) data for a geometry-optimized ZrAlO2 structure, as listed in Alexandria via LeMat-Bulk.

Properties
* total moment: 0.000 μB/atom
* formation energy from raw total energies: -2.22 eV/atom

Lattice parameters (Å, degrees): 6.562 6.562 6.562 25.87 25.87 25.87
Atoms (fractional coordinates):
1 Zr 0.000 0.000 0.000
2 Al 0.500 0.500 0.500
3 O 0.116 0.116 0.116
4 O 0.884 0.884 0.884